Record 1
HfNbOF2 | PBE-GGA | relaxed

abc: 4.294 4.294 4.095
angles: 90.00 90.00 90.00
Space group P4/mmm (No. 123)
Unique sites:
1 Hf 0.000 0.000 0.000 x1
2 Nb 0.500 0.500 0.500 x1
3 O 0.000 0.000 0.500 x1
4 F 0.000 0.500 0.000 x2

E_form (uncorrected) = -1.592 eV/atom

Record 2
HfNbSn2F | PBE-GGA | relaxed

abc: 5.508 5.508 4.936
angles: 90.00 90.00 90.00
Space group P4/mmm (No. 123)
Unique sites:
1 Hf 0.000 0.000 0.000 x1
2 Nb 0.000 0.000 0.500 x1
3 Sn 0.000 0.500 0.000 x2
4 F 0.500 0.500 0.500 x1

E_form (uncorrected) = 0.630 eV/atom

Record 3
Hf2ZrNbF | PBE-GGA | relaxed

abc: 5.300 5.300 4.032
angles: 90.00 90.00 90.00
Space group P4/mmm (No. 123)
Unique sites:
1 Hf 0.000 0.500 0.000 x2
2 Zr 0.000 0.000 0.500 x1
3 Nb 0.500 0.500 0.000 x1
4 F 0.500 0.500 0.500 x1

E_form (uncorrected) = 0.291 eV/atom